Record 1
This record from Alexandria describes a relaxed structure of ZrCrBr2. The functional is PBE.

Its space-group type is R3m. The uncorrected formation energy comes out at -0.394 eV/atom. The calculated volume comes out at 24.88 A^3/atom.

a b c (Å): 9.845 9.845 9.845
angles (deg): 20.20 20.20 20.20
Each line ends with the local moment (μB).
Positions (direct):
Br: 0.024 0.024 0.024  0.01
Br: 0.223 0.223 0.223  -0.01
Cr: 0.497 0.497 0.497  2.76
Zr: 0.757 0.757 0.757  -0.41


Record 2
This record from Alexandria describes a relaxed structure of KSbBr2. The functional is PBE.

Its space-group type is Pmmm. The uncorrected formation energy comes out at -0.716 eV/atom. The calculated volume comes out at 33.13 A^3/atom.

a b c (Å): 4.703 3.796 7.422
angles (deg): 90.00 90.00 90.00
Positions (direct):
Br: 0.000 0.751 0.998
Br: 0.000 0.749 0.502
K: 0.500 0.250 0.250
Sb: 0.500 0.750 0.750


Record 3
This record from Alexandria describes a relaxed structure of Tb2Sm7Dy2. The functional is PBE.

For the formation enthalpy at 0 K, the calculation gives 161.8 meV per atom. Its space-group type is C2/m. The calculated volume comes out at 34.00 A^3/atom.

a b c (Å): 8.181 6.953 6.953
angles (deg): 78.02 78.52 78.52
Positions (direct):
Tb: 0.812 0.451 0.451
Tb: 0.188 0.549 0.549
Sm: 0.180 0.082 0.477
Sm: 0.820 0.523 0.918
Sm: 0.820 0.918 0.523
Sm: 0.180 0.477 0.082
Sm: 0.000 0.000 0.000
Sm: 0.449 0.735 0.735
Sm: 0.551 0.265 0.265
Dy: 0.500 0.208 0.792
Dy: 0.500 0.792 0.208


Record 4
This record from Alexandria describes a relaxed structure of KNbSb2W. The functional is PBE.

Its space-group type is P4/mmm. The uncorrected formation energy comes out at 2.755 eV/atom. The calculated volume comes out at 26.24 A^3/atom.

a b c (Å): 5.358 4.571 5.358
angles (deg): 90.00 90.00 90.00
Each line ends with the local moment (μB).
Positions (direct):
Sb: 0.000 0.000 0.500  -0.01
Sb: 0.500 0.000 0.000  -0.01
Nb: 0.500 0.500 0.500  -0.20
K: 0.000 0.000 0.000  0.01
W: 0.000 0.500 0.000  0.74


Record 5
This record from Alexandria describes a relaxed structure of In2PdPtRh. The functional is PBE.

For the formation enthalpy at 0 K, the calculation gives 737.1 meV per atom. Its space-group type is P4/mmm. The calculated volume comes out at 23.86 A^3/atom.

a b c (Å): 4.901 4.965 4.901
angles (deg): 90.00 90.00 90.00
Positions (direct):
Rh: 0.500 0.500 0.500
Pd: 0.000 0.000 0.000
Pt: 0.000 0.500 0.000
In: 0.000 0.000 0.500
In: 0.500 0.000 0.000


Record 6
This record from Alexandria describes a relaxed structure of LaHo4Tm2Sc. The functional is PBE.

For the formation enthalpy at 0 K, the calculation gives 433.5 meV per atom. Its space-group type is C2/c. The calculated volume comes out at 31.52 A^3/atom.

a b c (Å): 9.329 9.329 11.530
angles (deg): 128.16 128.16 88.75
Each line ends with the local moment (μB).
Positions (direct):
La: 0.500 0.500 0.500  0.04
La: 0.000 0.000 0.000  0.04
Ho: 0.245 0.743 0.994  0.08
Ho: 0.757 0.255 0.506  0.08
Ho: 0.243 0.745 0.494  0.08
Ho: 0.755 0.257 0.006  0.08
Ho: 0.755 0.742 0.999  0.10
Ho: 0.758 0.745 0.501  0.10
Ho: 0.242 0.255 0.499  0.10
Ho: 0.245 0.258 0.001  0.10
Tm: 0.500 0.000 0.000  0.11
Tm: 0.500 0.000 0.500  0.11
Tm: 0.000 0.000 0.500  0.05
Tm: 0.500 0.500 0.000  0.05
Sc: 0.000 0.500 0.000  0.17
Sc: 0.000 0.500 0.500  0.17


Record 7
This record from Alexandria describes a relaxed structure of Sr2Si2Sb. The functional is PBE.

Its space-group type is I4/mmm. The uncorrected formation energy comes out at -0.364 eV/atom. The calculated volume comes out at 27.46 A^3/atom.

a b c (Å): 3.780 3.780 9.976
angles (deg): 79.08 79.08 90.00
Positions (direct):
Sb: 0.000 0.000 0.000
Si: 0.750 0.250 0.500
Si: 0.250 0.750 0.500
Sr: 0.389 0.389 0.223
Sr: 0.611 0.611 0.777


Record 8
This record from Alexandria describes a relaxed structure of MnSbPb2. The functional is PBE.

Its space-group type is F-43m. The uncorrected formation energy comes out at 0.401 eV/atom. The calculated volume comes out at 27.06 A^3/atom.

a b c (Å): 5.349 5.349 5.349
angles (deg): 60.00 60.00 60.00
Each line ends with the local moment (μB).
Positions (direct):
Mn: 0.500 0.500 0.500  4.10
Pb: 0.000 0.000 0.000  0.02
Pb: 0.250 0.250 0.250  -0.05
Sb: 0.750 0.750 0.750  -0.03


Record 9
This record from Alexandria describes a relaxed structure of BeBrO3. The functional is PBE.

Its space-group type is Pm-3m. The uncorrected formation energy comes out at 0.819 eV/atom. The calculated volume comes out at 11.95 A^3/atom.

a b c (Å): 3.910 3.910 3.910
angles (deg): 90.00 90.00 90.00
Positions (direct):
Be: 0.500 0.500 0.500
O: 0.000 0.500 0.000
O: 0.000 0.000 0.500
O: 0.500 0.000 0.000
Br: 0.000 0.000 0.000


Record 10
This record from Alexandria describes a relaxed structure of ZnHg14Pb. The functional is PBE.

For the formation enthalpy at 0 K, the calculation gives 40.7 meV per atom. Its space-group type is Amm2. The calculated volume comes out at 26.81 A^3/atom.

a b c (Å): 6.715 6.755 10.898
angles (deg): 90.00 90.00 119.80
Positions (direct):
Zn: 0.673 0.347 0.500
Hg: 0.154 0.309 0.000
Hg: 0.650 0.300 0.000
Hg: 0.698 0.894 0.500
Hg: 0.664 0.797 0.000
Hg: 0.195 0.894 0.500
Hg: 0.133 0.797 0.000
Hg: 0.830 0.157 0.755
Hg: 0.830 0.157 0.245
Hg: 0.327 0.157 0.755
Hg: 0.327 0.157 0.245
Hg: 0.335 0.670 0.764
Hg: 0.335 0.670 0.236
Hg: 0.820 0.641 0.727
Hg: 0.820 0.641 0.273
Pb: 0.206 0.413 0.500


Record 11
This record from Alexandria describes a relaxed structure of BaDyMgZn. The functional is PBE.

For the formation enthalpy at 0 K, the calculation gives 11.2 meV per atom. Its space-group type is F-43m. The calculated volume comes out at 30.40 A^3/atom.

a b c (Å): 5.561 5.561 5.561
angles (deg): 60.00 60.00 60.00
Positions (direct):
Mg: 0.000 0.000 0.000
Zn: 0.500 0.500 0.500
Ba: 0.250 0.250 0.250
Dy: 0.750 0.750 0.750


Record 12
This record from Alexandria describes a relaxed structure of SmHo2Zn3. The functional is PBE.

For the formation enthalpy at 0 K, the calculation gives -332.1 meV per atom. Its space-group type is P4/mmm. The calculated volume comes out at 22.99 A^3/atom.

a b c (Å): 3.582 3.582 10.753
angles (deg): 90.00 90.00 90.00
Positions (direct):
Sm: 0.500 0.500 0.500
Ho: 0.500 0.500 0.836
Ho: 0.500 0.500 0.164
Zn: 0.000 0.000 0.000
Zn: 0.000 0.000 0.676
Zn: 0.000 0.000 0.324


Record 13
This record from Alexandria describes a relaxed structure of InSiMo2. The functional is PBE.

Its space-group type is Cmm2. The uncorrected formation energy comes out at 0.298 eV/atom. The calculated volume comes out at 17.41 A^3/atom.

a b c (Å): 2.826 2.826 9.078
angles (deg): 90.00 90.00 106.16
Positions (direct):
In: 0.500 0.500 0.758
Mo: 0.000 0.000 0.022
Mo: 0.500 0.500 0.255
Si: 0.000 0.000 0.465


Record 14
This record from Alexandria describes a relaxed structure of LaPmZnHg. The functional is PBE.

For the formation enthalpy at 0 K, the calculation gives -406.2 meV per atom. Its space-group type is P4mm. The calculated volume comes out at 27.07 A^3/atom.

a b c (Å): 3.770 3.770 7.619
angles (deg): 90.00 90.00 90.00
Positions (direct):
La: 0.500 0.500 0.125
Pm: 0.500 0.500 0.590
Zn: 0.000 0.000 0.369
Hg: 0.000 0.000 0.844


Record 15
This record from Alexandria describes a relaxed structure of PuNpBiAu. The functional is PBE.

For the formation enthalpy at 0 K, the calculation gives -156.3 meV per atom. Its space-group type is F-43m. The calculated volume comes out at 26.41 A^3/atom.

a b c (Å): 5.306 5.306 5.306
angles (deg): 60.00 60.00 60.00
Each line ends with the local moment (μB).
Positions (direct):
Np: 0.500 0.500 0.500  4.30
Au: 0.250 0.250 0.250  0.07
Bi: 0.750 0.750 0.750  -0.10
Pu: 0.000 0.000 0.000  5.61


Record 16
This record from Alexandria describes a relaxed structure of BaAcHg17. The functional is PBE.

For the formation enthalpy at 0 K, the calculation gives -181.0 meV per atom. Its space-group type is R3m. The calculated volume comes out at 27.88 A^3/atom.

a b c (Å): 8.290 8.290 8.290
angles (deg): 76.66 76.66 76.66
Positions (direct):
Ba: 0.646 0.646 0.646
Ac: 0.323 0.323 0.323
Hg: 0.301 0.002 0.698
Hg: 0.698 0.301 0.002
Hg: 0.002 0.698 0.301
Hg: 0.301 0.698 0.002
Hg: 0.002 0.301 0.698
Hg: 0.698 0.002 0.301
Hg: 0.346 0.897 0.346
Hg: 0.346 0.346 0.897
Hg: 0.897 0.346 0.346
Hg: 0.599 0.222 0.599
Hg: 0.599 0.599 0.222
Hg: 0.222 0.599 0.599
Hg: 0.943 0.574 0.943
Hg: 0.943 0.943 0.574
Hg: 0.574 0.943 0.943
Hg: 0.944 0.944 0.944
Hg: 0.118 0.118 0.118


Record 17
This record from Alexandria describes a relaxed structure of CoAgPd3. The functional is PBE.

For the formation enthalpy at 0 K, the calculation gives 708.5 meV per atom. Its space-group type is Pm-3m. The calculated volume comes out at 19.14 A^3/atom.

a b c (Å): 4.574 4.574 4.574
angles (deg): 90.00 90.00 90.00
Each line ends with the local moment (μB).
Positions (direct):
Co: 0.000 0.000 0.000  2.14
Pd: 0.000 0.500 0.000  0.36
Pd: 0.000 0.000 0.500  0.60
Pd: 0.500 0.000 0.000  0.14
Ag: 0.500 0.500 0.500  0.02


Record 18
This record from Alexandria describes a relaxed structure of Sm3Y5P8. The functional is PBE.

For the formation enthalpy at 0 K, the calculation gives -1604.6 meV per atom. Its space-group type is R-3m. The calculated volume comes out at 23.47 A^3/atom.

a b c (Å): 8.097 8.097 8.097
angles (deg): 60.01 60.01 60.01
Positions (direct):
Sm: 0.500 0.000 0.000
Sm: 0.000 0.500 0.000
Sm: 0.000 0.000 0.500
Y: 0.500 0.500 0.000
Y: 0.500 0.000 0.500
Y: 0.000 0.000 0.000
Y: 0.000 0.500 0.500
Y: 0.500 0.500 0.500
P: 0.750 0.254 0.750
P: 0.750 0.750 0.254
P: 0.254 0.750 0.750
P: 0.252 0.252 0.252
P: 0.250 0.746 0.250
P: 0.250 0.250 0.746
P: 0.746 0.250 0.250
P: 0.748 0.748 0.748


Record 19
This record from Alexandria describes a relaxed structure of Sr2CdAg. The functional is PBE.

For the formation enthalpy at 0 K, the calculation gives -206.3 meV per atom. Its space-group type is Cm. The calculated volume comes out at 31.92 A^3/atom.

a b c (Å): 6.457 6.457 5.741
angles (deg): 72.60 72.60 34.17
Positions (direct):
Ag: 0.527 0.527 0.519
Cd: 0.217 0.217 0.238
Sr: 0.979 0.979 0.054
Sr: 0.776 0.776 0.690


Record 20
This record from Alexandria describes a relaxed structure of Cs3NaU3S8. The functional is PBE.

Its space-group type is R-3m. The uncorrected formation energy comes out at -1.377 eV/atom. The calculated volume comes out at 31.21 A^3/atom.

a b c (Å): 8.176 8.177 9.366
angles (deg): 115.90 90.00 119.99
Each line ends with the local moment (μB).
Positions (direct):
Cs: 0.000 0.000 0.000  0.00
Cs: 0.000 0.500 0.000  0.00
Cs: 0.500 0.500 0.000  0.00
Na: 0.000 0.000 0.500  0.00
U: 0.500 0.000 0.500  2.05
U: 0.500 0.500 0.500  2.05
U: 0.000 0.500 0.500  2.05
S: 0.273 0.546 0.319  -0.05
S: 0.727 0.454 0.681  -0.05
S: 0.762 0.524 0.323  -0.06
S: 0.238 0.476 0.677  -0.06
S: 0.762 0.061 0.323  -0.06
S: 0.238 0.939 0.677  -0.06
S: 0.299 0.061 0.323  -0.06
S: 0.701 0.939 0.677  -0.06